VASP calculation (GGA-PBEsol) on a geometry-optimized AlRe2Rh structure.

The structure belongs to space group P4/mmm (No. 123); the cell edges are 2.689, 2.689 and 7.789 Å and the angles 90.00°, 90.00° and 90.00°. The inequivalent atoms are Al at (0.000, 0.000, 0.000), Re at (0.500, 0.500, 0.252) and Rh at (0.000, 0.000, 0.500).

As for the volume: 14.09 Å³ per atom. For the calculated formation energy, the calculation gives -0.04 eV/atom.